i.
RbTiF2 | PBE-GGA | optimized geometry

a = 4.6097 Å, b = 4.6097 Å, c = 4.6097 Å
α = 60.00°, β = 60.00°, γ = 60.00°
Last column: nearest neighbours and their distance in Å.
Atoms (fractional coordinates):
Rb 0.0000 0.0000 0.0000  8 F 2.82
Ti 0.5000 0.5000 0.5000  8 F 2.82
F 0.2500 0.2500 0.2500  4 Rb 2.82, 4 Ti 2.82
F 0.7500 0.7500 0.7500  4 Rb 2.82, 4 Ti 2.82

Output
As for the crystal system: cubic. For the total magnetization, the calculation gives 0.739 μB per atom. Its space group is Fm-3m.


ii.
RbTiF2 | PBE-GGA | optimized geometry

a = 7.5707 Å, b = 7.5707 Å, c = 7.5707 Å
α = 27.97°, β = 27.97°, γ = 27.97°
Last column: nearest neighbours and their distance in Å.
Atoms (fractional coordinates):
Rb 0.0000 0.0000 0.0000  6 F 2.72
Ti 0.5000 0.5000 0.5000  2 F 1.93
F 0.4117 0.4117 0.4117  1 Ti 1.93
F 0.5883 0.5883 0.5883  1 Ti 1.93

Output
As for the crystal system: trigonal. For the total magnetization, the calculation gives 0.272 μB per atom. Its space group is R-3m.


iii.
RbTiF2 | PBE-GGA | optimized geometry

a = 7.3735 Å, b = 7.3735 Å, c = 7.3735 Å
α = 138.03°, β = 138.03°, γ = 60.86°
Last column: nearest neighbours and their distance in Å.
Atoms (fractional coordinates):
Rb 0.0000 0.0000 0.0000  4 F 3.06
Rb 0.7500 0.2500 0.5000  4 F 3.06
Ti 0.2500 0.7500 0.5000  4 F 2.10
Ti 0.5000 0.5000 0.0000  4 F 2.10
F 0.3033 0.6250 0.1783  2 Ti 2.10
F 0.3750 0.5533 0.6783  2 Ti 2.10
F 0.4467 0.1250 0.8217  2 Ti 2.10
F 0.8750 0.6967 0.3217  2 Ti 2.10

Output
As for the crystal system: tetragonal. For the total magnetization, the calculation gives 0.662 μB per atom. Its space group is I-42d.


Short version: ii is the most stable of them.


i.
Rb2TiF | PBE-GGA | optimized geometry

a = 7.7455 Å, b = 7.7455 Å, c = 7.7455 Å
α = 115.53°, β = 115.53°, γ = 97.94°
Last column: nearest neighbours and their distance in Å.
Atoms (fractional coordinates):
Rb 0.9998 0.6250 0.8748  2 F 2.64
Rb 0.3750 0.2498 0.3748  2 F 2.64
Rb 0.7502 0.1250 0.1252  2 F 2.64
Rb 0.8750 0.0002 0.6252  2 F 2.64
Ti 0.2500 0.7500 0.5000  4 Rb 3.94
Ti 0.5000 0.5000 0.0000  4 Rb 3.94
F 0.0000 0.0000 0.0000  4 Rb 2.64
F 0.7500 0.2500 0.5000  4 Rb 2.64

Output
As for the crystal system: tetragonal. For the total magnetization, the calculation gives 0.764 μB per atom. Its space group is I-42d.


ii.
Rb2TiF | PBE-GGA | optimized geometry

a = 6.1643 Å, b = 6.1643 Å, c = 6.1643 Å
α = 60.00°, β = 60.00°, γ = 60.00°
Last column: nearest neighbours and their distance in Å.
Atoms (fractional coordinates):
Rb 0.2500 0.2500 0.2500  4 F 3.77, 4 Ti 3.77
Rb 0.7500 0.7500 0.7500  4 F 3.77, 4 Ti 3.77
Ti 0.0000 0.0000 0.0000  8 Rb 3.77
F 0.5000 0.5000 0.5000  8 Rb 3.77

Output
As for the crystal system: cubic. For the total magnetization, the calculation gives 0.750 μB per atom. Its space group is Fm-3m.


Short version: i is the most stable of them.


i.
RbTiF4 | PBE-GGA | optimized geometry

a = 5.5278 Å, b = 5.5278 Å, c = 6.6351 Å
α = 90.00°, β = 90.00°, γ = 90.00°
Last column: nearest neighbours and their distance in Å.
Atoms (fractional coordinates):
Rb 0.0000 0.5000 0.0000  8 F 3.09
Rb 0.5000 0.0000 0.0000  8 F 3.09
Ti 0.0000 0.0000 0.5000  6 F 1.94-2.00
Ti 0.5000 0.5000 0.5000  6 F 1.94-2.00
F 0.0000 0.0000 0.2069  1 Ti 1.94
F 0.0000 0.0000 0.7931  1 Ti 1.94
F 0.1954 0.3046 0.5000  2 Ti 2.00
F 0.3046 0.8046 0.5000  2 Ti 2.00
F 0.5000 0.5000 0.2069  1 Ti 1.94
F 0.5000 0.5000 0.7931  1 Ti 1.94
F 0.6954 0.1954 0.5000  2 Ti 2.00
F 0.8046 0.6954 0.5000  2 Ti 2.00

Output
As for the crystal system: tetragonal. For the total magnetization, the calculation gives 0.167 μB per atom. Its space group is P4/mbm.


ii.
RbTiF4 | PBE-GGA | optimized geometry

a = 8.2096 Å, b = 8.2096 Å, c = 3.4076 Å
α = 90.00°, β = 90.00°, γ = 90.00°
Last column: nearest neighbours and their distance in Å.
Atoms (fractional coordinates):
Rb 0.2500 0.2500 0.1624  8 F 2.87-2.90
Rb 0.7500 0.7500 0.8376  8 F 2.87-2.90
Ti 0.2500 0.7500 0.5000  4 F 1.87
Ti 0.7500 0.2500 0.5000  4 F 1.87
F 0.0339 0.7500 0.3308  1 Ti 1.87
F 0.2500 0.5339 0.6692  1 Ti 1.87
F 0.2500 0.9661 0.6692  1 Ti 1.87
F 0.4661 0.7500 0.3308  1 Ti 1.87
F 0.5339 0.2500 0.6692  1 Ti 1.87
F 0.7500 0.0339 0.3308  1 Ti 1.87
F 0.7500 0.4661 0.3308  1 Ti 1.87
F 0.9661 0.2500 0.6692  1 Ti 1.87

Output
As for the crystal system: tetragonal. For the total magnetization, the calculation gives 0.043 μB per atom. Its space group is P4/nmm.


Short version: i is the most stable of them.